Record 1
# HgRh2N2

Crystalline HgRh2N2 at its relaxed geometry (GGA-PBE, Alexandria).

Lattice parameters (Å, degrees): 7.1196 7.1196 2.7998 90.00 90.00 90.00
With the nearest neighbours (Å) after each atom.
Fractional positions:
Rh: 0.3749 0.8749 0.0000  4 N 2.17
Rh: 0.8749 0.6251 0.0000  4 N 2.17
Rh: 0.6251 0.1251 0.0000  4 N 2.17
Rh: 0.1251 0.3749 0.0000  4 N 2.17
Hg: 0.0000 0.0000 0.0000  2 Hg 2.80, 4 Rh 2.81
Hg: 0.5000 0.5000 0.0000  2 Hg 2.80, 4 Rh 2.81
N: 0.1079 0.6079 0.5000  1 N 2.17, 4 Rh 2.17
N: 0.6079 0.8921 0.5000  1 N 2.17, 4 Rh 2.17
N: 0.8921 0.3921 0.5000  1 N 2.17, 4 Rh 2.17
N: 0.3921 0.1079 0.5000  1 N 2.17, 4 Rh 2.17

Results
As for the raw formation energy: 112.2 kJ per mole of atoms. Its magnetic moment is 0.0 μB per cell. The calculation puts the electronic total energy at -0.18993 hartree per atom. Its density of states at the Fermi level is 2.35 states/eV/f.u. Its energy above the most stable polymorph in this dataset is 420 meV per atom.

Record 2
# LaZn2Ag4

Crystalline LaZn2Ag4 at its relaxed geometry (GGA-PBE, Alexandria).

Lattice parameters (Å, degrees): 6.3808 6.3808 6.3808 100.22 100.22 130.19
With the nearest neighbours (Å) after each atom.
Fractional positions:
La: 0.0000 0.0000 0.0000  8 Ag 3.30
Zn: 0.2500 0.7500 0.5000  4 Ag 2.56, 2 Zn 2.69
Zn: 0.7500 0.2500 0.5000  4 Ag 2.56, 2 Zn 2.69
Ag: 0.7338 0.5000 0.2338  2 Zn 2.56, 2 Ag 2.71
Ag: 0.5000 0.7338 0.2338  2 Zn 2.56, 2 Ag 2.71
Ag: 0.5000 0.2662 0.7662  2 Zn 2.56, 2 Ag 2.71
Ag: 0.2662 0.5000 0.7662  2 Zn 2.56, 2 Ag 2.71

Results
Its magnetic moment is 0.0 μB per cell. The calculation puts the electronic total energy at -0.09222 hartree per atom. Its density of states at the Fermi level is 2.80 states/eV/f.u. Its energy above the most stable polymorph in this dataset is 388 meV per atom. The formation energy comes out at 0.19 eV per atom.

Record 3
# Li3YV

Crystalline Li3YV at its relaxed geometry (GGA-PBE, Alexandria).

Lattice parameters (Å, degrees): 5.0731 5.0731 5.0731 90.00 90.00 90.00
With the nearest neighbours (Å) after each atom.
Fractional positions:
Y: 0.0000 0.0000 0.0000  6 Li 2.54
V: 0.5000 0.5000 0.5000  12 Li 3.59
Li: 0.0000 0.5000 0.0000  2 Y 2.54
Li: 0.0000 0.0000 0.5000  2 Y 2.54
Li: 0.5000 0.0000 0.0000  2 Y 2.54

Results
Its magnetic moment is 3.5 μB per cell. The calculation puts the electronic total energy at -0.10126 hartree per atom. Its density of states at the Fermi level is 8.57 states/eV/f.u. Its energy above the most stable polymorph in this dataset is 763 meV per atom. The formation energy comes out at 1.51 eV per atom.

Record 4
# NdTm2Cu

Crystalline NdTm2Cu at its relaxed geometry (GGA-PBE, Alexandria).

Lattice parameters (Å, degrees): 3.6180 3.6180 9.9980 79.58 79.58 60.00
With the nearest neighbours (Å) after each atom.
Fractional positions:
Tm: 0.2680 0.2680 0.1960  3 Cu 2.83
Tm: 0.7320 0.7320 0.8040  3 Cu 2.83
Nd: 0.5000 0.5000 0.5000  6 Nd 3.62, 6 Tm 3.63
Cu: 0.0000 0.0000 0.0000  6 Tm 2.83

Results
Its magnetic moment is 0.0 μB per cell. The calculation puts the electronic total energy at -0.16299 hartree per atom. Its density of states at the Fermi level is 5.48 states/eV/f.u. Its energy above the most stable polymorph in this dataset is 132 meV per atom. The formation energy comes out at 0.02 eV per atom.